Record 1
# CdCuPb2

An optimized crystal structure of CdCuPb2 (PBE-GGA, the Alexandria database).

Cell lengths 4.843, 4.843, 4.210 Å; angles 90.00, 90.00, 90.00 degrees
Fractional coordinates of all 4 atoms:
1 Cd 0.000 0.000 0.000
2 Cu 0.500 0.500 0.000
3 Pb 0.000 0.500 0.500
4 Pb 0.500 0.000 0.500

Properties
SG: P4/mmm, No. 123

***

Record 2
# CdCuPb2

An optimized crystal structure of CdCuPb2 (PBE-GGA, the Alexandria database).

Cell lengths 3.351, 3.351, 8.678 Å; angles 90.00, 90.00, 90.00 degrees
Fractional coordinates of all 4 atoms:
1 Cd 0.000 0.000 0.000
2 Cu 0.500 0.500 0.171
3 Pb 0.000 0.000 0.384
4 Pb 0.500 0.500 0.729

Properties
SG: P4mm, No. 99

***

Record 3
# CdCu3Pb

An optimized crystal structure of CdCu3Pb (PBE-GGA, the Alexandria database).

Cell lengths 4.838, 4.838, 4.838 Å; angles 90.00, 90.00, 90.00 degrees
Fractional coordinates of all 5 atoms:
1 Cd 0.000 0.000 0.000
2 Cu 0.000 0.000 0.500
3 Cu 0.000 0.500 0.000
4 Cu 0.500 0.000 0.000
5 Pb 0.500 0.500 0.500

Properties
SG: Pm-3m, No. 221
Energy relative to the lowest polymorph listed for this composition in eV/atom: 0.000

***

Record 4
# CdCuPb3

An optimized crystal structure of CdCuPb3 (PBE-GGA, the Alexandria database).

Cell lengths 5.310, 5.310, 5.310 Å; angles 90.00, 90.00, 90.00 degrees
Fractional coordinates of all 5 atoms:
1 Cd 0.000 0.000 0.000
2 Cu 0.500 0.500 0.500
3 Pb 0.000 0.500 0.500
4 Pb 0.500 0.000 0.500
5 Pb 0.500 0.500 0.000

Properties
SG: Pm-3m, No. 221
Energy relative to the lowest polymorph listed for this composition in eV/atom: 0.000

***

Record 5
# CdCuPb

An optimized crystal structure of CdCuPb (PBE-GGA, the Alexandria database).

Cell lengths 6.525, 6.525, 6.525 Å; angles 90.00, 90.00, 90.00 degrees
Fractional coordinates of all 12 atoms:
1 Cd 0.000 0.000 0.000
2 Cd 0.000 0.500 0.500
3 Cd 0.500 0.000 0.500
4 Cd 0.500 0.500 0.000
5 Cu 0.250 0.250 0.250
6 Cu 0.250 0.750 0.750
7 Cu 0.750 0.250 0.750
8 Cu 0.750 0.750 0.250
9 Pb 0.000 0.000 0.500
10 Pb 0.000 0.500 0.000
11 Pb 0.500 0.000 0.000
12 Pb 0.500 0.500 0.500

Properties
SG: F-43m, No. 216
Energy relative to the lowest polymorph listed for this composition in eV/atom: 0.000

***

Record 6
# Cd4CuPb

An optimized crystal structure of Cd4CuPb (PBE-GGA, the Alexandria database).

Cell lengths 5.836, 5.836, 5.836 Å; angles 60.00, 60.00, 60.00 degrees
Fractional coordinates of all 6 atoms:
1 Cd 0.124 0.124 0.124
2 Cd 0.124 0.124 0.627
3 Cd 0.124 0.627 0.124
4 Cd 0.627 0.124 0.124
5 Cu 0.750 0.750 0.750
6 Pb 0.500 0.500 0.500

Properties
SG: F-43m, No. 216

***

Record 7
# CdCuPb

An optimized crystal structure of CdCuPb (PBE-GGA, the Alexandria database).

Cell lengths 4.666, 4.666, 3.622 Å; angles 90.00, 90.00, 120.00 degrees
Fractional coordinates of all 3 atoms:
1 Cd 0.000 0.000 0.000
2 Cu 0.667 0.333 0.053
3 Pb 0.333 0.667 0.498

Properties
SG: P3m1, No. 156
Energy relative to the lowest polymorph listed for this composition in eV/atom: 0.108

***

Record 8
# CdCuPb2

An optimized crystal structure of CdCuPb2 (PBE-GGA, the Alexandria database).

Cell lengths 4.696, 4.696, 19.598 Å; angles 90.00, 90.00, 90.00 degrees
Fractional coordinates of all 16 atoms:
1 Cd 0.000 0.000 0.000
2 Cd 0.000 0.500 0.250
3 Cd 0.500 0.000 0.750
4 Cd 0.500 0.500 0.500
5 Cu 0.000 0.000 0.500
6 Cu 0.000 0.500 0.750
7 Cu 0.500 0.000 0.250
8 Cu 0.500 0.500 0.000
9 Pb 0.231 0.250 0.625
10 Pb 0.250 0.731 0.875
11 Pb 0.250 0.769 0.375
12 Pb 0.269 0.250 0.125
13 Pb 0.731 0.750 0.125
14 Pb 0.750 0.231 0.375
15 Pb 0.750 0.269 0.875
16 Pb 0.769 0.750 0.625

Properties
SG: I-42d, No. 122

***

Record 9
# PmCdCuPb

An optimized crystal structure of PmCdCuPb (PBE-GGA, the Alexandria database).

Cell lengths 7.255, 7.255, 7.255 Å; angles 90.00, 90.00, 90.00 degrees
Fractional coordinates of all 16 atoms:
1 Pm 0.000 0.000 0.000
2 Pm 0.000 0.500 0.500
3 Pm 0.500 0.000 0.500
4 Pm 0.500 0.500 0.000
5 Cd 0.250 0.250 0.250
6 Cd 0.250 0.750 0.750
7 Cd 0.750 0.250 0.750
8 Cd 0.750 0.750 0.250
9 Cu 0.250 0.250 0.750
10 Cu 0.250 0.750 0.250
11 Cu 0.750 0.250 0.250
12 Cu 0.750 0.750 0.750
13 Pb 0.000 0.000 0.500
14 Pb 0.000 0.500 0.000
15 Pb 0.500 0.000 0.000
16 Pb 0.500 0.500 0.500

Properties
SG: F-43m, No. 216

***

Record 10
# PrCdCuPb

An optimized crystal structure of PrCdCuPb (PBE-GGA, the Alexandria database).

Cell lengths 7.315, 7.315, 7.315 Å; angles 90.00, 90.00, 90.00 degrees
Fractional coordinates of all 16 atoms:
1 Pr 0.000 0.000 0.000
2 Pr 0.000 0.500 0.500
3 Pr 0.500 0.000 0.500
4 Pr 0.500 0.500 0.000
5 Cd 0.250 0.250 0.250
6 Cd 0.250 0.750 0.750
7 Cd 0.750 0.250 0.750
8 Cd 0.750 0.750 0.250
9 Cu 0.250 0.250 0.750
10 Cu 0.250 0.750 0.250
11 Cu 0.750 0.250 0.250
12 Cu 0.750 0.750 0.750
13 Pb 0.000 0.000 0.500
14 Pb 0.000 0.500 0.000
15 Pb 0.500 0.000 0.000
16 Pb 0.500 0.500 0.500

Properties
SG: F-43m, No. 216

***

Record 11
# PuCdCuPb

An optimized crystal structure of PuCdCuPb (PBE-GGA, the Alexandria database).

Cell lengths 7.196, 7.196, 7.196 Å; angles 90.00, 90.00, 90.00 degrees
Fractional coordinates of all 16 atoms:
1 Pu 0.000 0.000 0.000
2 Pu 0.000 0.500 0.500
3 Pu 0.500 0.000 0.500
4 Pu 0.500 0.500 0.000
5 Cd 0.000 0.000 0.500
6 Cd 0.000 0.500 0.000
7 Cd 0.500 0.000 0.000
8 Cd 0.500 0.500 0.500
9 Cu 0.250 0.250 0.250
10 Cu 0.250 0.750 0.750
11 Cu 0.750 0.250 0.750
12 Cu 0.750 0.750 0.250
13 Pb 0.250 0.250 0.750
14 Pb 0.250 0.750 0.250
15 Pb 0.750 0.250 0.250
16 Pb 0.750 0.750 0.750

Properties
SG: F-43m, No. 216

***

Record 12
# RbCd2CuPb

An optimized crystal structure of RbCd2CuPb (PBE-GGA, the Alexandria database).

Cell lengths 5.312, 5.312, 5.295 Å; angles 90.00, 90.00, 90.00 degrees
Fractional coordinates of all 5 atoms:
1 Rb 0.000 0.000 0.000
2 Cd 0.000 0.500 0.500
3 Cd 0.500 0.000 0.500
4 Cu 0.500 0.500 0.500
5 Pb 0.500 0.500 0.000

Properties
SG: P4/mmm, No. 123

***

Number 1: N(E_F) 2.0 states/eV/f.u., energy of formation 0.98 eV/f.u.. Number 2: N(E_F) 1.4 states/eV/f.u., energy of formation 0.41 eV/f.u.. Number 3: N(E_F) 2.0 states/eV/f.u., energy of formation 3.55 eV/f.u.. Number 4: N(E_F) 3.2 states/eV/f.u., energy of formation 1.28 eV/f.u.. Number 5: N(E_F) 1.5 states/eV/f.u., energy of formation 0.33 eV/f.u.. Number 6: N(E_F) 1.3 states/eV/f.u., energy of formation 1.33 eV/f.u.. Number 7: N(E_F) 0.7 states/eV/f.u., energy of formation 0.65 eV/f.u.. Number 8: N(E_F) 1.7 states/eV/f.u., energy of formation 1.23 eV/f.u.. Number 9: N(E_F) 2.0 states/eV/f.u., energy of formation -0.50 eV/f.u.. Number 10: N(E_F) 2.1 states/eV/f.u., energy of formation -0.55 eV/f.u.. Number 11: N(E_F) 11.7 states/eV/f.u., energy of formation 0.34 eV/f.u.. Number 12: N(E_F) 1.7 states/eV/f.u., energy of formation 0.42 eV/f.u..